Record 1
Computed, not measured: Ta2AgRu2 at its PBEsol-relaxed geometry at the meta-GGA SCAN level of DFT.

```
data_Ta2AgRu2
_cell_length_a 4.167
_cell_length_b 4.167
_cell_length_c 10.646
_cell_angle_alpha 90.00
_cell_angle_beta 90.00
_cell_angle_gamma 90.00
_symmetry_space_group_name_H-M 'I 4/m m m'
_symmetry_Int_Tables_number 139
_symmetry_space_group_name_Hall '-I 4 2'
loop_
_atom_site_label
_atom_site_fract_x
_atom_site_fract_y
_atom_site_fract_z
Ta1 0.000 0.500 0.250
Ag1 0.000 0.000 0.000
Ru1 0.000 0.000 0.385
```

Fermi-level density of states ... 5.47 states/eV/cell
E_tot ... -46.716 eV per atom



Record 2
Computed, not measured: TaAg2Ru at its PBEsol-relaxed geometry at the meta-GGA SCAN level of DFT.

```
data_TaAg2Ru
_cell_length_a 2.996
_cell_length_b 4.432
_cell_length_c 9.625
_cell_angle_alpha 90.00
_cell_angle_beta 90.00
_cell_angle_gamma 90.00
_symmetry_space_group_name_H-M 'C m m m'
_symmetry_Int_Tables_number 65
_symmetry_space_group_name_Hall '-C 2 2'
loop_
_atom_site_label
_atom_site_fract_x
_atom_site_fract_y
_atom_site_fract_z
Ta1 0.000 0.000 0.000
Ag1 0.000 0.500 0.255
Ru1 0.000 0.000 0.500
```

Fermi-level density of states ... 5.40 states/eV/cell
E_tot ... -40.523 eV per atom



Record 3
Computed, not measured: TaAg4Ru at its PBEsol-relaxed geometry at the meta-GGA SCAN level of DFT.

```
data_TaAg4Ru
_cell_length_a 7.312
_cell_length_b 7.312
_cell_length_c 7.312
_cell_angle_alpha 90.00
_cell_angle_beta 90.00
_cell_angle_gamma 90.00
_symmetry_space_group_name_H-M 'F -4 3 m'
_symmetry_Int_Tables_number 216
_symmetry_space_group_name_Hall 'F -4 2 3'
loop_
_atom_site_label
_atom_site_fract_x
_atom_site_fract_y
_atom_site_fract_z
Ta1 0.000 0.000 0.000
Ag1 0.125 0.125 0.625
Ru1 0.250 0.250 0.250
```

Fermi-level density of states ... 14.97 states/eV/cell
E_tot ... -37.171 eV per atom



Record 4
Computed, not measured: TaAg2Ru at its PBEsol-relaxed geometry at the meta-GGA SCAN level of DFT.

```
data_TaAg2Ru
_cell_length_a 6.329
_cell_length_b 6.329
_cell_length_c 6.329
_cell_angle_alpha 90.00
_cell_angle_beta 90.00
_cell_angle_gamma 90.00
_symmetry_space_group_name_H-M 'F m -3 m'
_symmetry_Int_Tables_number 225
_symmetry_space_group_name_Hall '-F 4 2 3'
loop_
_atom_site_label
_atom_site_fract_x
_atom_site_fract_y
_atom_site_fract_z
Ta1 0.000 0.000 0.000
Ag1 0.250 0.250 0.250
Ru1 0.000 0.000 0.500
```

Fermi-level density of states ... 19.82 states/eV/cell
E_tot ... -40.344 eV per atom



Record 5
Computed, not measured: TcAgRu at its PBEsol-relaxed geometry at the meta-GGA SCAN level of DFT.

```
data_TcAgRu
_cell_length_a 2.759
_cell_length_b 3.736
_cell_length_c 8.416
_cell_angle_alpha 90.00
_cell_angle_beta 90.00
_cell_angle_gamma 90.00
_symmetry_space_group_name_H-M 'I m m 2'
_symmetry_Int_Tables_number 44
loop_
_symmetry_equiv_pos_as_xyz
'x,y,z'
'-x,-y,z'
'-x,y,z'
'x,-y,z'
'x+1/2,y+1/2,z+1/2'
'-x+1/2,-y+1/2,z+1/2'
'-x+1/2,y+1/2,z+1/2'
'x+1/2,-y+1/2,z+1/2'
loop_
_atom_site_label
_atom_site_fract_x
_atom_site_fract_y
_atom_site_fract_z
Tc1 0.000 0.000 0.000
Ag1 0.000 0.000 0.679
Ru1 0.000 0.000 0.358
```

Fermi-level density of states ... 4.49 states/eV/cell
E_tot ... -33.353 eV per atom



Record 6
Computed, not measured: TcAgRu at its PBEsol-relaxed geometry at the meta-GGA SCAN level of DFT.

```
data_TcAgRu
_cell_length_a 2.7218
_cell_length_b 2.7218
_cell_length_c 6.8660
_cell_angle_alpha 90.00
_cell_angle_beta 90.00
_cell_angle_gamma 120.00
_symmetry_space_group_name_H-M 'P 3 m 1'
_symmetry_Int_Tables_number 156
loop_
_symmetry_equiv_pos_as_xyz
'x,y,z'
'-y,x-y,z'
'-x+y,-x,z'
'-y,-x,z'
'-x+y,y,z'
'x,x-y,z'
loop_
_atom_site_label
_atom_site_fract_x
_atom_site_fract_y
_atom_site_fract_z
Tc1 0.0000 0.0000 0.0000
Ag1 0.6667 0.3333 0.6428
Ru1 0.3333 0.6667 0.2889
```

Fermi-level density of states ... 1.82 states/eV/cell
E_tot ... -33.537 eV per atom